# Ac3Tl4GeS8

Ac3Tl4GeS8 after structural relaxation (PBE, the Alexandria database).

Geometry as extended XYZ:
```
16
Lattice="4.329 2.499 7.277 -4.329 2.499 7.277 0.000 -4.998 7.277" Properties=species:S:1:pos:R:3 pbc="T T T"
Ac -2.164 -1.250 7.277
Ac -2.164 1.250 14.554
Ac 0.000 2.499 7.277
Tl -4.329 0.000 10.915
Tl -2.164 1.250 3.638
Tl 2.164 1.250 3.638
Tl 0.000 0.000 10.915
Ge 0.000 0.000 0.000
S 0.000 -2.629 8.803
S -2.277 1.314 8.803
S -2.277 -1.314 13.027
S 0.000 0.000 5.686
S 0.000 0.000 16.145
S 2.277 1.314 8.803
S 2.277 -1.314 13.027
S 0.000 2.629 13.027
```

**Uncorrected formation energy**: -1.12 eV/atom


# FeCo2Ir6

FeCo2Ir6 after structural relaxation (PBE, the Alexandria database).

Geometry as extended XYZ:
```
9
Lattice="7.206 0.000 0.000 -3.603 6.241 0.000 0.000 0.000 2.709" Properties=species:S:1:pos:R:3 pbc="T T T"
Fe 0.000 0.000 0.000
Co 0.000 4.161 2.030
Co 3.603 2.080 0.680
Ir -2.190 4.250 0.675
Ir 1.018 2.219 0.675
Ir 2.431 0.228 2.034
Ir 1.172 6.013 0.675
Ir 2.585 4.021 2.034
Ir 5.793 1.991 2.034
```

**ΔH_f (0 K)**: 0.07 eV per atom
**Excess energy over the best structure of this formula in the dataset**: 0 kJ/mol of formula units


# CePr2UN4

CePr2UN4 after structural relaxation (PBE, the Alexandria database).

Geometry as extended XYZ:
```
8
Lattice="6.181 0.000 0.000 0.000 3.576 0.000 -2.031 0.000 5.862" Properties=species:S:1:pos:R:3 pbc="T T T"
Ce 0.000 0.000 0.000
Pr -1.015 1.788 2.931
Pr 2.075 0.000 2.931
U 3.090 1.788 0.000
N 1.204 1.788 1.240
N 0.135 0.000 4.651
N 4.014 0.000 1.210
N 2.946 1.788 4.622
```

**Uncorrected formation energy**: -1.42 eV/atom


# Pm12CoPt6

Pm12CoPt6 after structural relaxation (PBE, the Alexandria database).

Geometry as extended XYZ:
```
19
Lattice="6.353 3.668 4.008 -6.353 3.668 4.008 0.000 -7.336 4.008" Properties=species:S:1:pos:R:3 pbc="T T T"
Pm -4.085 -4.162 6.643
Pm -5.647 1.457 5.381
Pm -1.560 -2.088 4.756
Pm 1.562 -5.618 5.381
Pm -2.588 0.307 7.269
Pm -1.028 2.395 4.756
Pm 1.028 -2.395 7.269
Pm 2.588 -0.307 4.756
Pm -1.562 5.618 6.643
Pm 1.560 2.088 7.269
Pm 5.647 -1.457 6.643
Pm 4.085 4.162 5.381
Co 0.000 0.000 0.000
Pt -3.077 0.510 4.240
Pt 1.097 -2.919 4.240
Pt -1.980 -2.410 7.784
Pt 1.980 2.410 4.240
Pt -1.097 2.919 7.784
Pt 3.077 -0.510 7.784
```

**ΔH_f (0 K)**: -0.73 eV per atom


# KCaIn2Ni

KCaIn2Ni after structural relaxation (PBE, the Alexandria database).

Geometry as extended XYZ:
```
5
Lattice="5.136 0.000 0.000 0.000 5.136 0.000 0.000 0.000 5.348" Properties=species:S:1:pos:R:3 pbc="T T T"
K 0.000 0.000 0.000
Ca 2.568 2.568 0.000
In 0.000 2.568 2.674
In 2.568 0.000 2.674
Ni 2.568 2.568 2.674
```

**ΔH_f (0 K)**: -0.14 eV per atom


# MgSbTe2

MgSbTe2 after structural relaxation (PBE, the Alexandria database).

Geometry as extended XYZ:
```
4
Lattice="4.383 0.000 0.000 0.000 4.383 0.000 0.000 0.000 6.185" Properties=species:S:1:pos:R:3 pbc="T T T"
Mg 0.000 0.000 0.000
Sb 2.192 2.192 3.086
Te 0.000 0.000 3.089
Te 2.192 2.192 6.179
```

**Uncorrected formation energy**: -0.36 eV/atom
**Excess energy over the best structure of this formula in the dataset**: 0 kJ/mol of formula units